--- w ---
First-principles (GGA-PBE) data for Pa2AgBi after structural relaxation, as listed in Alexandria.

Results
calculated density: 13.2 g cm⁻³
calculated volume: 24.5 Å³ per atom
density of states at the Fermi level: 7.55 states/eV/cell

abc: 4.408 4.408 5.041
angles: 90.00 90.00 90.00
Fractional positions:
1 Pa 0.000 0.500 0.000
2 Pa 0.500 0.000 0.000
3 Ag 0.000 0.000 0.500
4 Bi 0.500 0.500 0.500


--- x ---
First-principles (GGA-PBE) data for Pa2AgBi after structural relaxation, as listed in Alexandria.

Results
calculated density: 12.2 g cm⁻³
calculated volume: 26.5 Å³ per atom
density of states at the Fermi level: 25.29 states/eV/cell

abc: 3.189 3.189 36.153
angles: 90.00 90.00 120.00
Fractional positions:
1 Pa 0.000 0.000 0.087
2 Pa 0.000 0.000 0.913
3 Pa 0.333 0.667 0.580
4 Pa 0.333 0.667 0.753
5 Pa 0.667 0.333 0.247
6 Pa 0.667 0.333 0.420
7 Ag 0.000 0.000 0.000
8 Ag 0.333 0.667 0.667
9 Ag 0.667 0.333 0.333
10 Bi 0.000 0.000 0.500
11 Bi 0.333 0.667 0.167
12 Bi 0.667 0.333 0.833


--- y ---
First-principles (GGA-PBE) data for Pa2AgBi after structural relaxation, as listed in Alexandria.

Results
calculated density: 12.2 g cm⁻³
calculated volume: 26.5 Å³ per atom
density of states at the Fermi level: 51.59 states/eV/cell

abc: 7.511 7.511 7.511
angles: 90.00 90.00 90.00
Fractional positions:
1 Pa 0.250 0.250 0.250
2 Pa 0.250 0.250 0.750
3 Pa 0.250 0.750 0.250
4 Pa 0.250 0.750 0.750
5 Pa 0.750 0.250 0.250
6 Pa 0.750 0.250 0.750
7 Pa 0.750 0.750 0.250
8 Pa 0.750 0.750 0.750
9 Ag 0.000 0.000 0.000
10 Ag 0.000 0.500 0.500
11 Ag 0.500 0.000 0.500
12 Ag 0.500 0.500 0.000
13 Bi 0.000 0.000 0.500
14 Bi 0.000 0.500 0.000
15 Bi 0.500 0.000 0.000
16 Bi 0.500 0.500 0.500


Of them, the most stable is w and the least stable is x.


--- w ---
First-principles (GGA-PBE) data for PaAg2Bi after structural relaxation, as listed in Alexandria.

Results
calculated density: 11.5 g cm⁻³
calculated volume: 23.7 Å³ per atom
density of states at the Fermi level: 18.55 states/eV/cell

abc: 7.240 7.240 7.240
angles: 90.00 90.00 90.00
Fractional positions:
1 Pa 0.000 0.000 0.000
2 Pa 0.000 0.500 0.500
3 Pa 0.500 0.000 0.500
4 Pa 0.500 0.500 0.000
5 Ag 0.250 0.250 0.250
6 Ag 0.250 0.250 0.750
7 Ag 0.250 0.750 0.250
8 Ag 0.250 0.750 0.750
9 Ag 0.750 0.250 0.250
10 Ag 0.750 0.250 0.750
11 Ag 0.750 0.750 0.250
12 Ag 0.750 0.750 0.750
13 Bi 0.000 0.000 0.500
14 Bi 0.000 0.500 0.000
15 Bi 0.500 0.000 0.000
16 Bi 0.500 0.500 0.500


--- x ---
First-principles (GGA-PBE) data for PaAg2Bi after structural relaxation, as listed in Alexandria.

Results
calculated density: 11.3 g cm⁻³
calculated volume: 24.2 Å³ per atom
density of states at the Fermi level: 5.51 states/eV/cell

abc: 4.464 4.464 4.848
angles: 90.00 90.00 90.00
Fractional positions:
1 Pa 0.000 0.000 0.000
2 Ag 0.000 0.500 0.500
3 Ag 0.500 0.000 0.500
4 Bi 0.500 0.500 0.000


Of them, the most stable is x and the least stable is w.


--- w ---
First-principles (GGA-PBE) data for AgBiPb3 after structural relaxation, as listed in Alexandria.

Results
calculated density: 9.3 g cm⁻³
calculated volume: 33.6 Å³ per atom
density of states at the Fermi level: 3.16 states/eV/cell

abc: 5.520 5.520 5.520
angles: 90.00 90.00 90.00
Fractional positions:
1 Ag 0.000 0.000 0.000
2 Bi 0.500 0.500 0.500
3 Pb 0.000 0.000 0.500
4 Pb 0.000 0.500 0.000
5 Pb 0.500 0.000 0.000


--- x ---
First-principles (GGA-PBE) data for AgBiPb3 after structural relaxation, as listed in Alexandria.

Results
calculated density: 10.4 g cm⁻³
calculated volume: 30.1 Å³ per atom
density of states at the Fermi level: 3.86 states/eV/cell

abc: 7.778 4.826 8.556
angles: 90.00 110.65 90.00
Fractional positions:
1 Ag 0.076 0.250 0.090
2 Ag 0.924 0.750 0.910
3 Bi 0.305 0.750 0.721
4 Bi 0.695 0.250 0.279
5 Pb 0.007 0.250 0.702
6 Pb 0.342 0.250 0.443
7 Pb 0.347 0.750 0.117
8 Pb 0.653 0.250 0.883
9 Pb 0.658 0.750 0.557
10 Pb 0.993 0.750 0.298


Of them, the most stable is x and the least stable is w.


--- w ---
First-principles (GGA-PBE) data for AgBi2Pb6 after structural relaxation, as listed in Alexandria.

Results
calculated density: 10.5 g cm⁻³
calculated volume: 31.1 Å³ per atom
density of states at the Fermi level: 4.95 states/eV/cell

abc: 4.463 8.518 8.518
angles: 120.05 90.00 90.00
Fractional positions:
1 Ag 0.000 0.000 0.000
2 Bi 0.500 0.333 0.667
3 Bi 0.500 0.667 0.333
4 Pb 0.000 0.000 0.381
5 Pb 0.000 0.381 0.000
6 Pb 0.000 0.618 0.618
7 Pb 0.500 0.000 0.756
8 Pb 0.500 0.244 0.244
9 Pb 0.500 0.756 0.000


--- x ---
First-principles (GGA-PBE) data for AgBi2Pb6 after structural relaxation, as listed in Alexandria.

Results
calculated density: 10.3 g cm⁻³
calculated volume: 31.7 Å³ per atom
density of states at the Fermi level: 8.66 states/eV/cell

abc: 6.240 9.012 11.665
angles: 90.00 119.50 90.00
Fractional positions:
1 Ag 0.000 0.000 0.000
2 Ag 0.000 0.500 0.500
3 Bi 0.160 0.080 0.780
4 Bi 0.160 0.420 0.280
5 Bi 0.840 0.580 0.720
6 Bi 0.840 0.920 0.220
7 Pb 0.122 0.163 0.483
8 Pb 0.122 0.337 0.983
9 Pb 0.316 0.732 0.443
10 Pb 0.316 0.768 0.943
11 Pb 0.402 0.070 0.273
12 Pb 0.402 0.430 0.773
13 Pb 0.598 0.570 0.227
14 Pb 0.598 0.930 0.727
15 Pb 0.684 0.232 0.057
16 Pb 0.684 0.268 0.557
17 Pb 0.878 0.663 0.017
18 Pb 0.878 0.837 0.517


Of them, the most stable is w and the least stable is x.


--- w ---
First-principles (GGA-PBE) data for AgBi2Pb2 after structural relaxation, as listed in Alexandria.

Results
calculated density: 9.9 g cm⁻³
calculated volume: 31.5 Å³ per atom
density of states at the Fermi level: 6.41 states/eV/cell

abc: 7.631 7.631 5.413
angles: 90.00 90.00 90.00
Fractional positions:
1 Ag 0.000 0.000 0.000
2 Ag 0.500 0.500 0.000
3 Bi 0.144 0.356 0.000
4 Bi 0.356 0.856 0.000
5 Bi 0.644 0.144 0.000
6 Bi 0.856 0.644 0.000
7 Pb 0.176 0.676 0.500
8 Pb 0.324 0.176 0.500
9 Pb 0.676 0.824 0.500
10 Pb 0.824 0.324 0.500


--- x ---
First-principles (GGA-PBE) data for AgBi2Pb2 after structural relaxation, as listed in Alexandria.

Results
calculated density: 9.9 g cm⁻³
calculated volume: 31.6 Å³ per atom
density of states at the Fermi level: 6.30 states/eV/cell

abc: 7.908 7.908 5.057
angles: 90.00 90.00 90.00
Fractional positions:
1 Ag 0.000 0.000 0.000
2 Ag 0.500 0.500 0.000
3 Bi 0.140 0.360 0.500
4 Bi 0.360 0.860 0.500
5 Bi 0.640 0.140 0.500
6 Bi 0.860 0.640 0.500
7 Pb 0.162 0.662 0.000
8 Pb 0.338 0.162 0.000
9 Pb 0.662 0.838 0.000
10 Pb 0.838 0.338 0.000


--- y ---
First-principles (GGA-PBE) data for AgBi2Pb2 after structural relaxation, as listed in Alexandria.

Results
calculated density: 9.6 g cm⁻³
calculated volume: 32.5 Å³ per atom
density of states at the Fermi level: 6.98 states/eV/cell

abc: 4.440 4.440 16.494
angles: 90.00 90.00 90.00
Fractional positions:
1 Ag 0.000 0.000 0.000
2 Ag 0.500 0.500 0.500
3 Bi 0.000 0.000 0.409
4 Bi 0.000 0.000 0.591
5 Bi 0.500 0.500 0.091
6 Bi 0.500 0.500 0.909
7 Pb 0.000 0.500 0.250
8 Pb 0.000 0.500 0.750
9 Pb 0.500 0.000 0.250
10 Pb 0.500 0.000 0.750


Of them, the most stable is w and the least stable is y.


--- w ---
First-principles (GGA-PBE) data for AgBiPb4 after structural relaxation, as listed in Alexandria.

Results
calculated density: 10.5 g cm⁻³
calculated volume: 30.3 Å³ per atom
density of states at the Fermi level: 5.64 states/eV/cell

abc: 7.675 7.675 6.177
angles: 90.00 90.00 90.00
Fractional positions:
1 Ag 0.000 0.000 0.250
2 Ag 0.000 0.000 0.750
3 Bi 0.500 0.500 0.250
4 Bi 0.500 0.500 0.750
5 Pb 0.132 0.323 0.000
6 Pb 0.132 0.677 0.500
7 Pb 0.323 0.132 0.500
8 Pb 0.323 0.868 0.000
9 Pb 0.677 0.132 0.000
10 Pb 0.677 0.868 0.500
11 Pb 0.868 0.323 0.500
12 Pb 0.868 0.677 0.000


--- x ---
First-principles (GGA-PBE) data for AgBiPb4 after structural relaxation, as listed in Alexandria.

Results
calculated density: 10.5 g cm⁻³
calculated volume: 30.2 Å³ per atom
density of states at the Fermi level: 7.53 states/eV/cell

abc: 8.456 8.456 5.881
angles: 100.31 100.31 114.08
Fractional positions:
1 Ag 0.008 0.992 0.750
2 Ag 0.992 0.008 0.250
3 Bi 0.379 0.621 0.750
4 Bi 0.621 0.379 0.250
5 Pb 0.065 0.706 0.427
6 Pb 0.210 0.373 0.149
7 Pb 0.294 0.935 0.073
8 Pb 0.373 0.210 0.649
9 Pb 0.627 0.790 0.351
10 Pb 0.706 0.065 0.927
11 Pb 0.790 0.627 0.851
12 Pb 0.935 0.294 0.573


Of them, the most stable is x and the least stable is w.


--- w ---
First-principles (GGA-PBE) data for AgBiPbS3 after structural relaxation, as listed in Alexandria.

Results
calculated density: 6.8 g cm⁻³
calculated volume: 25.3 Å³ per atom

abc: 8.506 4.039 8.995
angles: 90.00 100.83 90.00
Fractional positions:
1 Ag 0.087 0.250 0.093
2 Ag 0.913 0.750 0.907
3 Bi 0.326 0.750 0.350
4 Bi 0.674 0.250 0.650
5 Pb 0.196 0.250 0.753
6 Pb 0.804 0.750 0.247
7 S 0.110 0.250 0.381
8 S 0.243 0.750 0.996
9 S 0.425 0.750 0.655
10 S 0.575 0.250 0.345
11 S 0.757 0.250 0.004
12 S 0.890 0.750 0.619


--- x ---
First-principles (GGA-PBE) data for AgBiPbS3 after structural relaxation, as listed in Alexandria.

Results
calculated density: 7.1 g cm⁻³
calculated volume: 24.1 Å³ per atom
density of states at the Fermi level: 0.07 states/eV/cell

abc: 4.088 5.772 12.272
angles: 90.00 90.00 90.00
Fractional positions:
1 Ag 0.000 0.000 0.000
2 Ag 0.500 0.500 0.500
3 Bi 0.000 0.000 0.674
4 Bi 0.500 0.500 0.174
5 Pb 0.000 0.000 0.337
6 Pb 0.500 0.500 0.837
7 S 0.000 0.500 0.019
8 S 0.000 0.500 0.340
9 S 0.000 0.500 0.665
10 S 0.500 0.000 0.165
11 S 0.500 0.000 0.519
12 S 0.500 0.000 0.840


Of them, the most stable is x and the least stable is w.


--- w ---
First-principles (GGA-PBE) data for AgBiTe3Pb after structural relaxation, as listed in Alexandria.

Results
calculated density: 7.7 g cm⁻³
calculated volume: 32.6 Å³ per atom

abc: 9.072 4.428 9.939
angles: 90.00 101.09 90.00
Fractional positions:
1 Ag 0.070 0.250 0.085
2 Ag 0.930 0.750 0.915
3 Bi 0.326 0.750 0.354
4 Bi 0.674 0.250 0.646
5 Te 0.093 0.250 0.378
6 Te 0.256 0.750 0.014
7 Te 0.421 0.750 0.666
8 Te 0.579 0.250 0.334
9 Te 0.744 0.250 0.986
10 Te 0.907 0.750 0.622
11 Pb 0.186 0.250 0.769
12 Pb 0.814 0.750 0.231


--- x ---
First-principles (GGA-PBE) data for AgBiTe3Pb after structural relaxation, as listed in Alexandria.

Results
calculated density: 7.9 g cm⁻³
calculated volume: 31.7 Å³ per atom
density of states at the Fermi level: 2.15 states/eV/cell

abc: 4.487 6.347 13.365
angles: 90.00 90.00 90.00
Fractional positions:
1 Ag 0.000 0.000 0.000
2 Ag 0.500 0.500 0.500
3 Bi 0.000 0.000 0.675
4 Bi 0.500 0.500 0.175
5 Te 0.000 0.500 0.012
6 Te 0.000 0.500 0.346
7 Te 0.000 0.500 0.656
8 Te 0.500 0.000 0.156
9 Te 0.500 0.000 0.512
10 Te 0.500 0.000 0.846
11 Pb 0.000 0.000 0.329
12 Pb 0.500 0.500 0.829


Of them, the most stable is w and the least stable is x.


--- w ---
First-principles (GGA-PBE) data for AgBiPd6 after structural relaxation, as listed in Alexandria.

Results
calculated density: 11.4 g cm⁻³
calculated volume: 17.5 Å³ per atom
density of states at the Fermi level: 4.73 states/eV/cell

abc: 5.190 5.219 5.231
angles: 95.03 95.35 95.55
Fractional positions:
1 Ag 0.000 0.000 0.000
2 Bi 0.500 0.500 0.500
3 Pd 0.043 0.453 0.753
4 Pd 0.247 0.954 0.549
5 Pd 0.453 0.752 0.045
6 Pd 0.547 0.248 0.955
7 Pd 0.753 0.046 0.451
8 Pd 0.957 0.547 0.247


--- x ---
First-principles (GGA-PBE) data for AgBiPd6 after structural relaxation, as listed in Alexandria.

Results
calculated density: 11.8 g cm⁻³
calculated volume: 16.8 Å³ per atom
density of states at the Fermi level: 10.02 states/eV/cell

abc: 5.728 5.728 4.093
angles: 90.00 90.00 90.00
Fractional positions:
1 Ag 0.000 0.000 0.000
2 Bi 0.500 0.500 0.000
3 Pd 0.000 0.500 0.000
4 Pd 0.247 0.247 0.500
5 Pd 0.247 0.753 0.500
6 Pd 0.500 0.000 0.000
7 Pd 0.753 0.247 0.500
8 Pd 0.753 0.753 0.500


Of them, the most stable is x and the least stable is w.


--- w ---
First-principles (GGA-PBE) data for AgBi3Pd after structural relaxation, as listed in Alexandria.

Results
calculated density: 8.9 g cm⁻³
calculated volume: 31.5 Å³ per atom
density of states at the Fermi level: 3.71 states/eV/cell

abc: 5.398 5.398 5.398
angles: 90.00 90.00 90.00
Fractional positions:
1 Ag 0.000 0.000 0.000
2 Bi 0.000 0.500 0.500
3 Bi 0.500 0.000 0.500
4 Bi 0.500 0.500 0.000
5 Pd 0.500 0.500 0.500


--- x ---
First-principles (GGA-PBE) data for AgBi3Pd after structural relaxation, as listed in Alexandria.

Results
calculated density: 10.2 g cm⁻³
calculated volume: 27.5 Å³ per atom
density of states at the Fermi level: 4.22 states/eV/cell

abc: 6.983 6.983 6.981
angles: 115.89 115.89 82.68
Fractional positions:
1 Ag 0.049 0.049 0.242
2 Ag 0.951 0.951 0.758
3 Bi 0.010 0.617 0.266
4 Bi 0.383 0.990 0.734
5 Bi 0.397 0.397 0.631
6 Bi 0.603 0.603 0.369
7 Bi 0.617 0.010 0.266
8 Bi 0.990 0.383 0.734
9 Pd 0.272 0.272 0.129
10 Pd 0.728 0.728 0.871


Of them, the most stable is x and the least stable is w.


--- w ---
First-principles (GGA-PBE) data for Ag2BiPd5 after structural relaxation, as listed in Alexandria.

Results
calculated density: 11.6 g cm⁻³
calculated volume: 17.1 Å³ per atom
density of states at the Fermi level: 5.48 states/eV/cell

abc: 4.170 4.170 15.716
angles: 90.00 90.00 90.00
Fractional positions:
1 Ag 0.000 0.000 0.249
2 Ag 0.000 0.000 0.751
3 Ag 0.500 0.500 0.251
4 Ag 0.500 0.500 0.749
5 Bi 0.000 0.000 0.500
6 Bi 0.500 0.500 0.000
7 Pd 0.000 0.000 0.000
8 Pd 0.000 0.500 0.126
9 Pd 0.000 0.500 0.374
10 Pd 0.000 0.500 0.626
11 Pd 0.000 0.500 0.874
12 Pd 0.500 0.000 0.126
13 Pd 0.500 0.000 0.374
14 Pd 0.500 0.000 0.626
15 Pd 0.500 0.000 0.874
16 Pd 0.500 0.500 0.500


--- x ---
First-principles (GGA-PBE) data for Ag2BiPd5 after structural relaxation, as listed in Alexandria.

Results
calculated density: 11.2 g cm⁻³
calculated volume: 17.8 Å³ per atom
density of states at the Fermi level: 7.36 states/eV/cell

abc: 7.542 7.542 7.542
angles: 123.78 123.78 83.58
Fractional positions:
1 Ag 0.145 0.645 0.791
2 Ag 0.355 0.145 0.500
3 Ag 0.645 0.855 0.500
4 Ag 0.855 0.355 0.209
5 Bi 0.250 0.250 0.000
6 Bi 0.750 0.750 0.000
7 Pd 0.000 0.000 0.000
8 Pd 0.019 0.812 0.500
9 Pd 0.188 0.688 0.208
10 Pd 0.312 0.519 0.500
11 Pd 0.481 0.981 0.792
12 Pd 0.500 0.500 0.000
13 Pd 0.519 0.019 0.208
14 Pd 0.688 0.481 0.500
15 Pd 0.812 0.312 0.792
16 Pd 0.981 0.188 0.500


Of them, the most stable is w and the least stable is x.